[1]
{"formula": "Pm6Tl6Hg", "functional": "PBE", "state": "optimized geometry", "space_group": "P6/mmm (191)", "mass_density_g_cm3": 9.5, "magmom_total_mub_per_fu": 0.00, "crystal_system": "hexagonal", "formation_energy_ev_per_atom": -0.234, "cell": [[6.587, -0.003, 0.000], [-3.295, 5.704, 0.000], [0.000, 0.000, 10.727]], "species": ["Tl", "Tl", "Pm", "Pm", "Pm", "Pm", "Hg", "Pm", "Tl", "Tl", "Pm", "Tl", "Tl"], "frac_coords": [[0.000, 0.500, 0.750], [0.500, 0.500, 0.750], [0.333, 0.667, 0.500], [0.000, 0.000, 0.303], [0.333, 0.667, 0.000], [0.667, 0.333, 0.000], [0.000, 0.000, 0.000], [0.667, 0.333, 0.500], [0.000, 0.500, 0.250], [0.500, 0.000, 0.750], [0.000, 0.000, 0.697], [0.500, 0.500, 0.250], [0.500, 0.000, 0.250]]}


[2]
{"formula": "PmTl2Hg6", "functional": "PBE", "state": "optimized geometry", "space_group": "P6/mmm (191)", "mass_density_g_cm3": 12.1, "magmom_total_mub_per_fu": 0.09, "crystal_system": "hexagonal", "formation_energy_ev_per_atom": -0.133, "cell": [[-0.003, 3.383, 0.286], [2.167, -0.741, 8.743], [8.682, -0.208, 2.503]], "species": ["Hg", "Tl", "Hg", "Hg", "Hg", "Hg", "Pm", "Hg", "Tl"], "frac_coords": [[0.501, 0.000, 0.334], [0.000, 0.667, 0.667], [0.499, 0.000, 0.666], [0.501, 0.334, 0.000], [0.499, 0.666, 0.000], [0.500, 0.334, 0.666], [0.000, 0.000, 0.000], [0.500, 0.666, 0.334], [0.000, 0.333, 0.333]]}


[3]
{"formula": "Pm7Tl2Hg2", "functional": "PBE", "state": "optimized geometry", "space_group": "Cmmm (65)", "mass_density_g_cm3": 8.3, "magmom_total_mub_per_fu": 0.00, "crystal_system": "orthorhombic", "formation_energy_ev_per_atom": -0.071, "cell": [[-5.629, -3.455, 2.139], [4.591, -4.382, 5.001], [1.005, 5.597, 3.984]], "species": ["Pm", "Pm", "Pm", "Pm", "Tl", "Pm", "Tl", "Hg", "Hg", "Pm", "Pm"], "frac_coords": [[0.000, 0.286, 0.500], [0.500, 0.286, 0.000], [0.500, 0.714, 0.000], [0.000, 0.714, 0.500], [0.816, 0.500, 0.816], [0.500, 0.750, 0.500], [0.184, 0.500, 0.184], [0.715, 0.000, 0.285], [0.285, 0.000, 0.715], [0.000, 0.000, 0.000], [0.500, 0.250, 0.500]]}


[4]
{"formula": "Pm3Tl2Hg", "functional": "PBE", "state": "optimized geometry", "space_group": "P4/mmm (123)", "mass_density_g_cm3": 10.0, "magmom_total_mub_per_fu": 0.55, "crystal_system": "tetragonal", "formation_energy_ev_per_atom": -0.416, "cell": [[3.804, 0.000, 0.000], [0.000, 3.804, 0.000], [0.000, 0.000, 11.936]], "species": ["Tl", "Pm", "Hg", "Tl", "Pm", "Pm"], "frac_coords": [[0.500, 0.500, 0.828], [0.000, 0.000, 0.341], [0.500, 0.500, 0.500], [0.500, 0.500, 0.172], [0.000, 0.000, 0.000], [0.000, 0.000, 0.659]]}